Entry 1:
AlZn8Pt6 | PBE | relaxed

Lattice parameters (Å, degrees): 6.769 6.769 6.769 66.18 66.18 66.18
Sites, in units of the cell vectors:
Al (0.000, 0.000, 0.000)
Zn (0.214, 0.544, 0.879)
Zn (0.121, 0.786, 0.456)
Zn (0.456, 0.121, 0.786)
Zn (0.669, 0.669, 0.669)
Zn (0.331, 0.331, 0.331)
Zn (0.544, 0.879, 0.214)
Zn (0.879, 0.214, 0.544)
Zn (0.786, 0.456, 0.121)
Pt (0.052, 0.379, 0.722)
Pt (0.278, 0.948, 0.621)
Pt (0.621, 0.278, 0.948)
Pt (0.379, 0.722, 0.052)
Pt (0.722, 0.052, 0.379)
Pt (0.948, 0.621, 0.278)

As for the space group: No. 148.

***

Entry 2:
AlZn3Pt | PBE | relaxed

Lattice parameters (Å, degrees): 4.843 4.843 4.843 90.00 90.00 90.00
Sites, in units of the cell vectors:
Zn (0.000, 0.500, 0.000)
Zn (0.000, 0.000, 0.500)
Zn (0.500, 0.000, 0.000)
Al (0.500, 0.500, 0.500)
Pt (0.000, 0.000, 0.000)

As for the space group: No. 221. The energy above the most stable polymorph in this dataset is 0.0 meV/atom.

***

Entry 3:
AlZn2Pt | PBE | relaxed

Lattice parameters (Å, degrees): 4.909 4.909 4.491 82.43 82.43 33.54
Sites, in units of the cell vectors:
Zn (0.997, 0.997, 0.001)
Zn (0.503, 0.503, 0.499)
Al (0.750, 0.750, 0.750)
Pt (0.250, 0.250, 0.250)

As for the space group: No. 12.

***

Entry 4:
AlZn3Pt12 | PBE | relaxed

Lattice parameters (Å, degrees): 3.934 3.934 15.664 90.00 90.00 90.00
Sites, in units of the cell vectors:
Al (0.000, 0.000, 0.000)
Zn (0.000, 0.000, 0.250)
Zn (0.000, 0.000, 0.500)
Zn (0.000, 0.000, 0.750)
Pt (0.500, 0.500, 0.000)
Pt (0.500, 0.500, 0.249)
Pt (0.500, 0.500, 0.500)
Pt (0.500, 0.500, 0.751)
Pt (0.500, 0.000, 0.123)
Pt (0.500, 0.000, 0.375)
Pt (0.500, 0.000, 0.625)
Pt (0.500, 0.000, 0.877)
Pt (0.000, 0.500, 0.123)
Pt (0.000, 0.500, 0.375)
Pt (0.000, 0.500, 0.625)
Pt (0.000, 0.500, 0.877)

As for the space group: No. 123.

***

Entry 5:
AlZn3Pt4 | PBE | relaxed

Lattice parameters (Å, degrees): 4.079 4.079 7.588 105.55 105.55 90.16
Sites, in units of the cell vectors:
Zn (0.000, 0.500, 0.000)
Zn (0.752, 0.252, 0.503)
Zn (0.248, 0.748, 0.497)
Al (0.500, 0.000, 0.000)
Pt (0.378, 0.379, 0.757)
Pt (0.622, 0.621, 0.243)
Pt (0.121, 0.122, 0.243)
Pt (0.879, 0.878, 0.757)

As for the space group: No. 69.

***

Entry 6:
AlZn2Pt | PBE | relaxed

Lattice parameters (Å, degrees): 4.707 4.707 2.895 90.00 90.00 111.58
Sites, in units of the cell vectors:
Zn (0.000, 0.000, 0.000)
Zn (0.500, 0.500, 0.000)
Al (0.500, 0.000, 0.500)
Pt (0.000, 0.500, 0.500)

As for the space group: No. 65.

***

no.,calculated total energy (eV per atom),energy of formation (meV/atom),DOS at the Fermi energy (states/eV per atom)
1,-3.83,-487,0.402
2,-2.57,148,0.381
3,-3.50,-418,0.267
4,-5.43,-428,0.777
5,-4.66,-695,0.305
6,-3.42,-340,0.314